# RbGe2Pt2, relaxed, DFT GGA-PBE
data_RbGe2Pt2
_cell_length_a 5.6423
_cell_length_b 6.5886
_cell_length_c 13.6225
_cell_angle_alpha 90.00
_cell_angle_beta 90.00
_cell_angle_gamma 90.00
_symmetry_space_group_name_H-M 'F m m m'
_symmetry_Int_Tables_number 69
_symmetry_space_group_name_Hall '-F 2 2'
loop_
_atom_site_label
_atom_site_type_symbol
_atom_site_fract_x
_atom_site_fract_y
_atom_site_fract_z
Rb1 Rb 0.0000 0.0000 0.0000
Ge1 Ge 0.0000 0.0000 0.3438
Pt1 Pt 0.2500 0.2500 0.2500
# raw total energy	-4.9249	eV per atom
# crystal system	orthorhombic
# energy relative to the lowest polymorph listed for this composition	0.000	eV per atom

***

# BeGaFeAu, relaxed, DFT GGA-PBE
data_BeGaFeAu
_cell_length_a 5.9373
_cell_length_b 5.9373
_cell_length_c 5.9373
_cell_angle_alpha 90.00
_cell_angle_beta 90.00
_cell_angle_gamma 90.00
_symmetry_space_group_name_H-M 'F -4 3 m'
_symmetry_Int_Tables_number 216
_symmetry_space_group_name_Hall 'F -4 2 3'
loop_
_atom_site_label
_atom_site_type_symbol
_atom_site_fract_x
_atom_site_fract_y
_atom_site_fract_z
Be1 Be 0.0000 0.0000 0.0000
Ga1 Ga 0.0000 0.0000 0.5000
Fe1 Fe 0.2500 0.2500 0.7500
Au1 Au 0.2500 0.2500 0.2500
# raw total energy	-4.5536	eV per atom
# crystal system	cubic
# energy relative to the lowest polymorph listed for this composition	0.000	eV per atom

***

# Lu4GeAuN2, relaxed, DFT GGA-PBE
data_Lu4GeAuN2
_cell_length_a 3.4108
_cell_length_b 3.4108
_cell_length_c 14.1469
_cell_angle_alpha 90.00
_cell_angle_beta 90.00
_cell_angle_gamma 120.00
_symmetry_space_group_name_H-M 'P -6 m 2'
_symmetry_Int_Tables_number 187
_symmetry_space_group_name_Hall 'P -6 2'
loop_
_atom_site_label
_atom_site_type_symbol
_atom_site_fract_x
_atom_site_fract_y
_atom_site_fract_z
Lu1 Lu 0.0000 0.0000 0.1552
Lu2 Lu 0.6667 0.3333 0.3425
Ge1 Ge 0.0000 0.0000 0.5000
Au1 Au 0.6667 0.3333 0.0000
N1 N 0.3333 0.6667 0.2554
# raw total energy	-6.5371	eV per atom
# crystal system	hexagonal

***

# Er5Zn4In, relaxed, DFT GGA-PBE
data_Er5Zn4In
_cell_length_a 3.5452
_cell_length_b 3.5452
_cell_length_c 18.1094
_cell_angle_alpha 90.00
_cell_angle_beta 90.00
_cell_angle_gamma 90.00
_symmetry_space_group_name_H-M 'P 4/m m m'
_symmetry_Int_Tables_number 123
_symmetry_space_group_name_Hall '-P 4 2'
loop_
_atom_site_label
_atom_site_type_symbol
_atom_site_fract_x
_atom_site_fract_y
_atom_site_fract_z
Er1 Er 0.0000 0.0000 0.0000
Er2 Er 0.0000 0.0000 0.1937
Er3 Er 0.0000 0.0000 0.3861
Zn1 Zn 0.5000 0.5000 0.0978
Zn2 Zn 0.5000 0.5000 0.2892
In1 In 0.5000 0.5000 0.5000
# raw total energy	-3.4394	eV per atom
# crystal system	tetragonal